V2PtS2 | Alexandria | PBE | relaxed; SG = I4/mmm, No. 139; magnetization = 0.00 Bohr magnetons per cell; E_tot = -34.53 eV/f.u.; polymorph energy (0 for the lowest one) = 0 meV per atom; E_form (uncorrected) = -38.6 kJ per mole of atoms
1.0
-2.069 2.069 4.247
2.069 -2.069 4.247
2.069 2.069 -4.247
V Pt S
2 1 2
Cartesian
2.069 0.000 2.123
0.000 2.069 2.123
0.000 0.000 0.000
0.000 0.000 3.090
0.000 0.000 5.403